The following is a DFT calculation (PBE-GGA) of a geometry-optimized Bi6TeRh structure.

The space group is C2/m (No. 12) and the conventional cell measures 14.723, 9.995 and 10.394 Å, with angles of 90.00, 133.42 and 90.00 degrees. The asymmetric unit holds Bi at (0.023, 0.162, 0.372), Bi at (0.097, 0.500, 0.732), Bi at (0.149, 0.344, 0.176), Bi at (0.200, 0.500, 0.544), Te at (0.250, 0.250, 0.000) and Rh at (0.250, 0.250, 0.500).

The calculated total energy is -135.0 eV/cell. The calculation puts the density at 8.874 g cm⁻³. The uncorrected formation energy comes out at 0.033 eV per formula unit.